A plane-wave DFT calculation with GGA-PBE was carried out for a relaxed structure of LiNdCo.

The calculation puts the density at 5.18 g/cm³. The formation energy comes out at -0.07 eV per formula unit. As for the crystal system: monoclinic.

It has space group P2_1/m (No. 11), with a = 3.953 Å, b = 3.926 Å, c = 8.899 Å, α = 90.00°, β = 102.73° and γ = 90.00°. The asymmetric unit holds Li at (0.205, 0.250, 0.412), Nd at (0.408, 0.250, 0.814) and Co at (0.032, 0.250, 0.064).